Entry 1:
Entry from Alexandria via LeMat-Bulk: an optimized crystal structure of CaAcSn6 (GGA-PBE).

Values from the calculation:
- total moment (Bohr magnetons per cell) = 0.00
- calculated formation energy (eV/atom) = -0.404
- DOS at the Fermi energy (states/eV/f.u.) = 4.27

a b c (Å): 6.8456 6.8456 5.7542
angles (deg): 90.00 90.00 120.00
Closest atoms and distances in Å follow each position.
Atoms (fractional coordinates):
Ca 0.0000 0.0000 0.0000  12 Sn 3.43-3.57
Ac 0.6667 0.3333 0.5000  12 Sn 3.43-3.60
Sn 0.0322 0.5161 0.0000  6 Sn 3.09-3.40, 2 Ca 3.43
Sn 0.1788 0.3575 0.5000  6 Sn 3.17-3.40, 2 Ac 3.43
Sn 0.1788 0.8212 0.5000  6 Sn 3.17-3.40, 2 Ac 3.43
Sn 0.4839 0.5161 0.0000  6 Sn 3.09-3.40, 2 Ca 3.43
Sn 0.4839 0.9678 0.0000  6 Sn 3.09-3.40, 2 Ca 3.43
Sn 0.6425 0.8212 0.5000  6 Sn 3.17-3.40, 2 Ac 3.43


Entry 2:
Entry from Alexandria via LeMat-Bulk: an optimized crystal structure of BeCdHg2 (GGA-PBE).

Values from the calculation:
- total moment (Bohr magnetons per cell) = 0.00
- calculated formation energy (eV/atom) = 0.339
- DOS at the Fermi energy (states/eV/f.u.) = 1.27

a b c (Å): 3.7766 4.1759 5.4149
angles (deg): 90.00 101.25 90.00
Closest atoms and distances in Å follow each position.
Atoms (fractional coordinates):
Be 0.0000 0.0000 0.0000  4 Hg 2.61, 2 Cd 2.71
Cd 0.0000 0.0000 0.5000  2 Be 2.71, 4 Hg 2.99
Hg 0.3318 0.5000 0.2226  2 Be 2.61
Hg 0.6682 0.5000 0.7774  2 Be 2.61


Entry 3:
Entry from Alexandria via LeMat-Bulk: an optimized crystal structure of La3AsCl2 (GGA-PBE).

Values from the calculation:
- total moment (Bohr magnetons per cell) = 0.00
- energy (eV/atom) = -5.474
- DOS at the Fermi energy (states/eV/f.u.) = 3.89

a b c (Å): 7.3859 7.3859 7.2715
angles (deg): 99.79 99.79 120.38
Closest atoms and distances in Å follow each position.
Atoms (fractional coordinates):
La 0.0796 0.4114 0.2419  4 Cl 2.95-3.02, 2 As 2.97-2.98
La 0.2473 0.2473 0.7513  4 Cl 2.97-3.06, 2 As 2.98
La 0.4114 0.0796 0.2419  4 Cl 2.95-3.02, 2 As 2.97-2.98
La 0.5886 0.9204 0.7581  4 Cl 2.95-3.02, 2 As 2.97-2.98
La 0.7527 0.7527 0.2487  4 Cl 2.97-3.06, 2 As 2.98
La 0.9204 0.5886 0.7581  4 Cl 2.95-3.02, 2 As 2.97-2.98
As 0.3351 0.6649 0.0000  6 La 2.97-2.98
As 0.6649 0.3351 0.0000  6 La 2.97-2.98
Cl 0.0000 0.0000 0.0000  6 La 2.95-2.97
Cl 0.1742 0.8258 0.5000  6 La 2.97-3.06
Cl 0.5000 0.5000 0.5000  6 La 3.02
Cl 0.8258 0.1742 0.5000  6 La 2.97-3.06


Entry 4:
Entry from Alexandria via LeMat-Bulk: an optimized crystal structure of Mn2Zn2S (GGA-PBE).

Values from the calculation:
- total moment (Bohr magnetons per cell) = 10.38
- energy (eV/atom) = -5.032
- DOS at the Fermi energy (states/eV/f.u.) = 4.02

a b c (Å): 5.9548 5.9548 4.0501
angles (deg): 90.00 90.00 90.00
Closest atoms and distances in Å follow each position.
Atoms (fractional coordinates):
Mn 0.1600 0.3400 0.0000  2 S 2.24
Mn 0.3400 0.8400 0.0000  2 S 2.24
Mn 0.6600 0.1600 0.0000  2 S 2.24
Mn 0.8400 0.6600 0.0000  2 S 2.24
Zn 0.1480 0.6480 0.5000  1 Zn 2.49, 6 Mn 2.59-2.73
Zn 0.3520 0.1480 0.5000  1 Zn 2.49, 6 Mn 2.59-2.73
Zn 0.6480 0.8520 0.5000  1 Zn 2.49, 6 Mn 2.59-2.73
Zn 0.8520 0.3520 0.5000  1 Zn 2.49, 6 Mn 2.59-2.73
S 0.0000 0.0000 0.0000  4 Mn 2.24
S 0.5000 0.5000 0.0000  4 Mn 2.24